Material: SmInCo
Method: DFT, PBE
State: optimized geometry

abc: 4.769 4.769 4.769
angles: 60.00 60.00 60.00
Fractional positions:
Co 0.250 0.250 0.250
In 0.750 0.750 0.750
Sm 0.000 0.000 0.000

E = -4.207 eV per atom
Size of the total moment = 1.0 μB/f.u.


Material: RbGeTe3Au
Method: DFT, PBE
State: optimized geometry

abc: 11.677 8.672 8.672
angles: 154.14 90.00 90.00
Fractional positions:
Au 0.250 0.580 0.420
Au 0.750 0.420 0.580
Ge 0.000 0.000 0.000
Ge 0.500 0.000 0.000
Rb 0.750 0.741 0.259
Rb 0.250 0.259 0.741
Te 0.250 0.954 0.046
Te 0.028 0.624 0.376
Te 0.472 0.624 0.376
Te 0.528 0.376 0.624
Te 0.972 0.376 0.624
Te 0.750 0.046 0.954

E = -3.290 eV per atom


Material: Dy3Fe7Ni2
Method: DFT, PBE
State: optimized geometry

abc: 8.717 8.717 8.717
angles: 33.37 33.37 33.37
Fractional positions:
Dy 0.000 0.000 0.000
Dy 0.142 0.142 0.142
Dy 0.858 0.858 0.858
Fe 0.581 0.581 0.083
Fe 0.917 0.419 0.419
Fe 0.419 0.917 0.419
Fe 0.500 0.500 0.500
Fe 0.581 0.083 0.581
Fe 0.083 0.581 0.581
Fe 0.419 0.419 0.917
Ni 0.333 0.333 0.333
Ni 0.667 0.667 0.667

Size of the total moment = 14.4 μB/f.u.
DFT formation energy = -0.1300 eV/atom